Record 1
## Pr3Th4Se8 (PBE)

Data for an optimized crystal structure of Pr3Th4Se8.

```
data_Pr3Th4Se8
_space_group_name_H-M_alt 'C 1 2/m 1'
_space_group_IT_number 12
_cell_length_a 11.886
_cell_length_b 11.904
_cell_length_c 8.393
_cell_angle_alpha 90.00
_cell_angle_beta 134.75
_cell_angle_gamma 90.00
loop_
_space_group_symop_operation_xyz
'x,y,z'
'-x,-y,-z'
'-x,y,-z'
'x,-y,z'
'x+1/2,y+1/2,z'
'-x+1/2,-y+1/2,-z'
'-x+1/2,y+1/2,-z'
'x+1/2,-y+1/2,z'
loop_
_atom_site_label
_atom_site_type_symbol
_atom_site_fract_x
_atom_site_fract_y
_atom_site_fract_z
Pr1 Pr 0.000 0.000 0.000
Pr2 Pr 0.250 0.250 0.000
Th1 Th 0.000 0.500 0.000
Th2 Th 0.000 0.500 0.500
Th3 Th 0.250 0.250 0.500
Se1 Se 0.000 0.244 0.500
Se2 Se 0.000 0.251 0.000
Se3 Se 0.243 0.000 0.502
Se4 Se 0.248 0.000 0.991
```

Computed properties:
formation energy without anion corrections = -1706 meV per atom

Record 2
## PmYOs (PBE)

Data for an optimized crystal structure of PmYOs.

```
data_PmYOs
_space_group_name_H-M_alt 'R 3'
_space_group_IT_number 146
_space_group_name_Hall 'R 3'
_cell_length_a 6.8656
_cell_length_b 6.8656
_cell_length_c 19.3201
_cell_angle_alpha 90.00
_cell_angle_beta 90.00
_cell_angle_gamma 120.00
loop_
_atom_site_label
_atom_site_type_symbol
_atom_site_fract_x
_atom_site_fract_y
_atom_site_fract_z
Pm1 Pm 0.0009 0.3413 0.0000
Y1 Y 0.0021 0.6557 0.5030
Os1 Os 0.0000 0.0000 0.4262
Os2 Os 0.0000 0.0000 0.5779
Os3 Os 0.0000 0.0000 0.9201
```

Computed properties:
energy above the lowest structure with this stoichiometry = 145 meV/atom

Record 3
## MgNbF3 (PBE)

Data for an optimized crystal structure of MgNbF3.

```
data_MgNbF3
_space_group_name_H-M_alt 'P m -3 m'
_space_group_IT_number 221
_space_group_name_Hall '-P 4 2 3'
_cell_length_a 4.364
_cell_length_b 4.364
_cell_length_c 4.364
_cell_angle_alpha 90.00
_cell_angle_beta 90.00
_cell_angle_gamma 90.00
loop_
_atom_site_label
_atom_site_type_symbol
_atom_site_fract_x
_atom_site_fract_y
_atom_site_fract_z
Mg1 Mg 0.000 0.000 0.000
Nb1 Nb 0.500 0.500 0.500
F1 F 0.000 0.500 0.500
```

Computed properties:
formation energy without anion corrections = -1722 meV per atom
energy above the lowest structure with this stoichiometry = 85 meV/atom

Record 4
## TiNbAlC (PBE)

Data for an optimized crystal structure of TiNbAlC.

```
data_TiNbAlC
_space_group_name_H-M_alt 'P -3 m 1'
_space_group_IT_number 164
_space_group_name_Hall '-P 3 2"'
_cell_length_a 3.1004
_cell_length_b 3.1004
_cell_length_c 13.8791
_cell_angle_alpha 90.00
_cell_angle_beta 90.00
_cell_angle_gamma 120.00
loop_
_atom_site_label
_atom_site_type_symbol
_atom_site_fract_x
_atom_site_fract_y
_atom_site_fract_z
Ti1 Ti 0.3333 0.6667 0.0821
Nb1 Nb 0.3333 0.6667 0.4098
Al1 Al 0.3333 0.6667 0.7545
C1 C 0.0000 0.0000 0.0000
C2 C 0.0000 0.0000 0.5000
```

Computed properties:
energy = -66.8 eV/cell

Record 5
## Nd5Dy3Sc (PBE)

Data for an optimized crystal structure of Nd5Dy3Sc.

```
data_Nd5Dy3Sc
_space_group_name_H-M_alt 'C 1 2/m 1'
_space_group_IT_number 12
_cell_length_a 14.944
_cell_length_b 11.900
_cell_length_c 8.720
_cell_angle_alpha 90.00
_cell_angle_beta 119.68
_cell_angle_gamma 90.00
loop_
_space_group_symop_operation_xyz
'x,y,z'
'-x,-y,-z'
'-x,y,-z'
'x,-y,z'
'x+1/2,y+1/2,z'
'-x+1/2,-y+1/2,-z'
'-x+1/2,y+1/2,-z'
'x+1/2,-y+1/2,z'
loop_
_atom_site_label
_atom_site_type_symbol
_atom_site_fract_x
_atom_site_fract_y
_atom_site_fract_z
Nd1 Nd 0.000 0.244 0.000
Nd2 Nd 0.045 0.000 0.356
Nd3 Nd 0.169 0.255 0.725
Nd4 Nd 0.195 0.500 0.471
Dy1 Dy 0.000 0.500 0.000
Dy2 Dy 0.000 0.500 0.500
Dy3 Dy 0.130 0.000 0.057
Dy4 Dy 0.224 0.000 0.787
Sc1 Sc 0.145 0.500 0.853
```

Computed properties:
energy = -155.7 eV/cell

Record 6
## KCrAu (PBE)

Data for an optimized crystal structure of KCrAu.

```
data_KCrAu
_space_group_name_H-M_alt 'F -4 3 m'
_space_group_IT_number 216
_space_group_name_Hall 'F -4 2 3'
_cell_length_a 7.409
_cell_length_b 7.409
_cell_length_c 7.409
_cell_angle_alpha 90.00
_cell_angle_beta 90.00
_cell_angle_gamma 90.00
loop_
_atom_site_label
_atom_site_type_symbol
_atom_site_fract_x
_atom_site_fract_y
_atom_site_fract_z
K1 K 0.000 0.000 0.000
Cr1 Cr 0.250 0.250 0.250
Au1 Au 0.250 0.250 0.750
```

Computed properties:
energy above the lowest structure with this stoichiometry = 774 meV/atom